Here is a geometry-optimized NaSrEr2Se4 structure from Alexandria. Energies are from PBE.

Cell: 7.135 4.136 7.453 Å, 90.00 108.65 90.00°
Element x y z (fractional)
Na 0.000 0.000 0.000
Sr 0.500 0.500 0.000
Er 0.000 0.500 0.500
Er 0.500 0.000 0.500
Se 0.239 0.000 0.729
Se 0.255 0.500 0.272
Se 0.745 0.500 0.728
Se 0.761 0.000 0.271

Density of states at the Fermi level, states/eV per cell: 2.58
VASP energy, eV/cell: -40.36
Energy relative to the elements, uncorrected, meV per atom: -1787



Here is a geometry-optimized RbTaOs2Pb structure from Alexandria. Energies are from PBE.

Cell: 5.130 5.130 5.265 Å, 90.00 90.00 90.00°
Element x y z (fractional)
Rb 0.000 0.000 0.000
Ta 0.500 0.500 0.000
Os 0.000 0.500 0.500
Os 0.500 0.000 0.500
Pb 0.500 0.500 0.500

Energy of formation from the pure elements, meV/atom: 2715
Density of states at the Fermi level, states/eV per cell: 8.08
VASP energy, eV/cell: -25.42



Here is a geometry-optimized PmHo2Hf structure from Alexandria. Energies are from PBE.

Cell: 12.199 12.199 12.199 Å, 15.77 15.77 15.77°
Element x y z (fractional)
Pm 0.000 0.000 0.000
Ho 0.414 0.414 0.414
Ho 0.586 0.586 0.586
Hf 0.500 0.500 0.500

Energy of formation from the pure elements, meV/atom: 377
Offset from the most stable computed form, meV per atom: 265.0
Density of states at the Fermi level, states/eV per cell: 6.02
VASP energy, eV/cell: -22.35



Here is a geometry-optimized CdTePH structure from Alexandria. Energies are from PBE.

Cell: 4.379 4.444 5.955 Å, 72.94 86.01 61.52°
Element x y z (fractional)
Cd 0.000 0.000 0.000
Te 0.611 0.562 0.512
P 0.672 0.626 0.075
H 0.345 0.375 0.547

Offset from the most stable computed form, meV per atom: 174.8
Density of states at the Fermi level, states/eV per cell: 0.00
VASP energy, eV/cell: -12.35



Here is a geometry-optimized PmAl2SiPd4 structure from Alexandria. Energies are from PBE.

Cell: 9.069 9.069 9.069 Å, 27.38 27.38 27.38°
Element x y z (fractional)
Pm 0.000 0.000 0.000
Al 0.243 0.243 0.243
Al 0.757 0.757 0.757
Si 0.500 0.500 0.500
Pd 0.137 0.137 0.137
Pd 0.407 0.407 0.407
Pd 0.593 0.593 0.593
Pd 0.863 0.863 0.863

Density of states at the Fermi level, states/eV per cell: 4.01
VASP energy, eV/cell: -44.55
Energy relative to the elements, uncorrected, meV per atom: -765



Here is a geometry-optimized Sr2P2Ru structure from Alexandria. Energies are from PBE.

Cell: 9.589 9.589 9.589 Å, 158.86 158.86 30.08°
Element x y z (fractional)
Sr 0.105 0.105 0.000
Sr 0.895 0.895 0.000
P 0.250 0.750 0.500
P 0.750 0.250 0.500
Ru 0.500 0.500 0.000

Energy of formation from the pure elements, meV/atom: 89
Offset from the most stable computed form, meV per atom: 688.7
Density of states at the Fermi level, states/eV per cell: 4.42
VASP energy, eV/cell: -23.01



Here is a geometry-optimized Dy5Hf3P8 structure from Alexandria. Energies are from PBE.

Cell: 7.775 7.775 7.775 Å, 59.71 59.71 59.71°
Element x y z (fractional)
Dy 0.000 0.000 0.000
Dy 0.000 0.500 0.500
Dy 0.500 0.000 0.500
Dy 0.500 0.500 0.000
Dy 0.500 0.500 0.500
Hf 0.000 0.000 0.500
Hf 0.000 0.500 0.000
Hf 0.500 0.000 0.000
P 0.237 0.750 0.750
P 0.244 0.244 0.244
P 0.250 0.250 0.763
P 0.250 0.763 0.250
P 0.750 0.237 0.750
P 0.750 0.750 0.237
P 0.756 0.756 0.756
P 0.763 0.250 0.250

Energy of formation from the pure elements, meV/atom: -1487
Density of states at the Fermi level, states/eV per cell: 6.15
VASP energy, eV/cell: -119.93



Here is a geometry-optimized PrNd3Cd4 structure from Alexandria. Energies are from PBE.

Cell: 5.449 5.449 7.768 Å, 90.00 90.00 90.00°
Element x y z (fractional)
Pr 0.000 0.000 0.000
Nd 0.000 0.000 0.500
Nd 0.500 0.500 0.000
Nd 0.500 0.500 0.500
Cd 0.000 0.500 0.252
Cd 0.000 0.500 0.748
Cd 0.500 0.000 0.252
Cd 0.500 0.000 0.748

Energy of formation from the pure elements, meV/atom: -319
Density of states at the Fermi level, states/eV per cell: 9.17
VASP energy, eV/cell: -25.30



Which formula does entry 5 have?
PmAl2SiPd4



Which formula does entry 5 have?
PmAl2SiPd4